Below is a relaxed Pm2Y2Th15 crystal, with properties calculated at the PBE level.

Calculated volume, Å³ per atom: 34.46
Magnetic moment, Bohr magnetons per cell: 0.00
Formation energy from the elements, meV/atom: 274.8

Lattice parameters (Å, degrees): 11.4912 11.4912 17.1750 90.00 90.00 120.00
With the nearest neighbours (Å) after each atom.
Space group R-3m (No. 166, hexagonal axes)
Inequivalent atoms, fractional coordinates:
Pm 0.0000 0.0000 0.1706 x6  1 Y 3.93, 15 Th 4.04-4.34
Y 0.0000 0.0000 0.3997 x6  1 Y 3.45, 12 Th 3.51-3.85
Th 0.0000 0.2993 0.5000 x18  8 Th 3.36-3.57
Th 0.0000 0.5000 0.0000 x9  8 Th 3.36-3.39, 2 Y 3.51
Th 0.0123 0.5061 0.6532 x18  8 Th 3.23-3.57